# Nd2Er3Mg

Nd2Er3Mg after structural relaxation (PBE, Alexandria).

Properties
VASP energy = -22.51 eV per formula unit
Space-group type = Imm2
E above lowest polymorph = 253 meV per atom
ΔH_f (0 K) = 0.384 eV/atom

Cell lengths 3.312, 11.756, 7.904 Å; angles 138.05, 102.09, 90.00 degrees
Fractional positions:
Nd 0.171 0.915 0.342
Mg 0.500 0.256 0.000
Er 0.336 0.329 0.671
Nd 0.829 0.573 0.658
Er 0.000 0.013 0.000
Er 0.664 0.657 0.329


# Pa5Ge5Os2

Pa5Ge5Os2 after structural relaxation (PBE, Alexandria).

Properties
VASP energy = -98.38 eV per formula unit
Space-group type = C2/m
ΔH_f (0 K) = -0.446 eV/atom

Cell lengths 4.220, 7.866, 8.319 Å; angles 87.73, 75.31, 74.44 degrees
Fractional positions:
Ge 0.955 0.282 0.808
Pa 0.368 0.951 0.313
Ge 0.300 0.770 0.630
Pa 0.296 0.318 0.089
Os 0.390 0.459 0.762
Pa 0.000 0.500 0.500
Pa 0.704 0.682 0.911
Os 0.610 0.541 0.238
Ge 0.045 0.718 0.192
Ge 0.700 0.230 0.370
Ge 0.000 0.000 0.000
Pa 0.632 0.049 0.687


# Na3Tl7Cd2

Na3Tl7Cd2 after structural relaxation (PBE, Alexandria).

Properties
VASP energy = -23.06 eV per formula unit
Space-group type = P-1
E above lowest polymorph = 0 meV per atom
ΔH_f (0 K) = -0.059 eV/atom

Cell lengths 6.104, 6.302, 11.345 Å; angles 104.25, 119.18, 65.29 degrees
Fractional positions:
Tl 0.718 0.220 0.500
Tl 0.000 0.000 0.000
Na 0.700 0.657 0.353
Cd 0.846 0.840 0.685
Cd 0.154 0.160 0.315
Tl 0.098 0.572 0.172
Na 0.500 0.500 0.000
Tl 0.902 0.428 0.828
Tl 0.598 0.073 0.171
Tl 0.282 0.780 0.500
Na 0.300 0.343 0.647
Tl 0.402 0.927 0.829


# PmDyHo2Er4

PmDyHo2Er4 after structural relaxation (PBE, Alexandria).

Properties
VASP energy = -33.19 eV per formula unit
Space-group type = C2/c
ΔH_f (0 K) = 0.446 eV/atom

Cell lengths 9.448, 9.448, 11.688 Å; angles 128.21, 128.21, 88.82 degrees
Fractional positions:
Er 0.749 0.248 0.499
Pm 0.000 0.500 0.000
Er 0.252 0.751 0.001
Er 0.253 0.249 0.502
Er 0.748 0.249 0.999
Ho 0.500 0.000 0.000
Er 0.251 0.752 0.501
Er 0.251 0.247 0.998
Ho 0.000 0.000 0.500
Dy 0.000 0.000 0.000
Er 0.749 0.753 0.002
Pm 0.000 0.500 0.500
Ho 0.500 0.000 0.500
Ho 0.500 0.500 0.000
Er 0.747 0.751 0.498
Dy 0.500 0.500 0.500


# CdAsSBr2

CdAsSBr2 after structural relaxation (PBE, Alexandria).

Properties
VASP energy = -9.64 eV per formula unit
Space-group type = P4/mmm
E above lowest polymorph = 272 meV per atom
Formation energy (no corrections) = 679 meV per atom

Cell lengths 5.207, 5.207, 5.583 Å; angles 90.00, 90.00, 90.00 degrees
Fractional positions:
S 0.500 0.500 0.500
Cd 0.000 0.000 0.000
As 0.000 0.000 0.500
Br 0.500 0.000 0.000
Br 0.000 0.500 0.000


# OsPdCl2

OsPdCl2 after structural relaxation (PBE, Alexandria).

Properties
VASP energy = -18.25 eV per formula unit
Space-group type = R-3m
E above lowest polymorph = 0 meV per atom
Formation energy (no corrections) = 467 meV per atom

Cell lengths 9.040, 9.040, 9.040 Å; angles 18.82, 18.82, 18.82 degrees
Fractional positions:
Pd 0.500 0.500 0.500
Os 0.000 0.000 0.000
Cl 0.084 0.084 0.084
Cl 0.916 0.916 0.916


# ScMnRu2

ScMnRu2 after structural relaxation (PBE, Alexandria).

Properties
VASP energy = -33.07 eV per formula unit
Space-group type = R3m
ΔH_f (0 K) = 0.245 eV/atom

Cell lengths 8.997, 8.997, 8.997 Å; angles 18.07, 18.07, 18.07 degrees
Fractional positions:
Ru 0.255 0.255 0.255
Sc 0.499 0.499 0.499
Mn 0.746 0.746 0.746
Ru 0.000 0.000 0.000


# Sr3TlF

Sr3TlF after structural relaxation (PBE, Alexandria).

Properties
VASP energy = -15.39 eV per formula unit
Space-group type = Pm-3m
E above lowest polymorph = 0 meV per atom
Formation energy (no corrections) = -1221 meV per atom

Cell lengths 5.353, 5.353, 5.353 Å; angles 90.00, 90.00, 90.00 degrees
Fractional positions:
Sr 0.000 0.000 0.500
Sr 0.000 0.500 0.000
Sr 0.500 0.000 0.000
Tl 0.500 0.500 0.500
F 0.000 0.000 0.000


# V6CrIr2

V6CrIr2 after structural relaxation (PBE, Alexandria).

Properties
VASP energy = -79.88 eV per formula unit
Space-group type = Immm
ΔH_f (0 K) = 0.242 eV/atom

Cell lengths 4.223, 5.778, 6.897 Å; angles 114.76, 107.79, 90.00 degrees
Fractional positions:
Cr 0.000 0.000 0.000
V 0.157 0.907 0.314
V 0.500 0.771 0.000
V 0.157 0.406 0.314
V 0.500 0.229 0.000
Ir 0.331 0.331 0.661
V 0.843 0.093 0.686
V 0.843 0.594 0.686
Ir 0.669 0.669 0.339


# Sm2Al3Ag4Hg

Sm2Al3Ag4Hg after structural relaxation (PBE, Alexandria).

Properties
VASP energy = -35.04 eV per formula unit
Space-group type = P-4m2
ΔH_f (0 K) = -0.267 eV/atom

Cell lengths 4.300, 4.300, 11.588 Å; angles 90.00, 90.00, 90.00 degrees
Fractional positions:
Hg 0.500 0.500 0.500
Ag 0.500 0.000 0.654
Sm 0.000 0.500 0.759
Al 0.500 0.000 0.871
Ag 0.000 0.000 0.000
Al 0.000 0.500 0.129
Al 0.000 0.000 0.500
Ag 0.500 0.500 0.000
Ag 0.000 0.500 0.346
Sm 0.500 0.000 0.241


# NdLuCuTc

NdLuCuTc after structural relaxation (PBE, Alexandria).

Properties
VASP energy = -23.89 eV per formula unit
Space-group type = F-43m
ΔH_f (0 K) = -0.034 eV/atom

Cell lengths 4.901, 4.901, 4.901 Å; angles 60.00, 60.00, 60.00 degrees
Fractional positions:
Tc 0.250 0.250 0.250
Cu 0.750 0.750 0.750
Lu 0.000 0.000 0.000
Nd 0.500 0.500 0.500


# Pm8Si3PBr4

Pm8Si3PBr4 after structural relaxation (PBE, Alexandria).

Properties
VASP energy = -85.36 eV per formula unit
Space-group type = R-3m
Formation energy (no corrections) = -1187 meV per atom

Cell lengths 8.413, 8.780, 8.412 Å; angles 118.63, 120.00, 90.00 degrees
Fractional positions:
Br 0.000 0.000 0.000
Pm 0.263 0.290 0.527
Pm 0.766 0.294 0.028
Pm 0.234 0.706 0.972
Pm 0.262 0.294 0.028
Pm 0.737 0.710 0.473
Br 0.000 0.000 0.500
Pm 0.738 0.706 0.972
Si 0.500 0.500 0.000
Si 0.500 0.500 0.500
Br 0.500 0.000 0.500
Pm 0.234 0.706 0.468
Si 0.000 0.500 0.500
Br 0.500 0.000 0.000
P 0.000 0.500 0.000
Pm 0.766 0.294 0.532